1.
An optimized crystal structure of Pr2BeZn. Source: Alexandria via LeMat-Bulk, functional PBE.

Properties
Energy of formation, kJ/mol of formula units: 252
SG: R-3m, No. 166
Uncorrected energy, eV per atom: -2.988

Cell and atoms, written as POSCAR:
```
Pr2BeZn
1.0
3.464 0.000 0.000
1.732 3.000 0.000
1.732 1.000 10.840
Pr Zn Be
2 1 1
direct
0.094 0.094 0.719
0.906 0.906 0.281
0.500 0.500 0.500
0.000 0.000 0.000
```

***

2.
An optimized crystal structure of DyPaHgRu. Source: Alexandria via LeMat-Bulk, functional PBE.

Properties
Energy of formation, kJ/mol of formula units: -44
SG: F-43m, No. 216
Uncorrected energy, eV per atom: -6.033

Cell and atoms, written as POSCAR:
```
DyPaHgRu
1.0
5.046 0.000 0.000
2.523 4.370 0.000
2.523 1.457 4.120
Ru Hg Pa Dy
1 1 1 1
direct
0.750 0.750 0.750
0.250 0.250 0.250
0.500 0.500 0.500
0.000 0.000 0.000
```

***

3.
An optimized crystal structure of MnTe2Au. Source: Alexandria via LeMat-Bulk, functional PBE.

Properties
SG: P2/m, No. 10
Uncorrected energy, eV per atom: -4.517

Cell and atoms, written as POSCAR:
```
MnTe2Au
1.0
-1.655 -3.644 -0.347
-0.300 -0.304 4.615
-5.005 2.135 1.444
Au Mn Te
1 1 2
direct
0.500 0.250 0.250
0.500 0.750 0.750
0.000 0.513 0.508
0.000 0.987 0.992
```

***

4.
An optimized crystal structure of CaGe2PdPt. Source: Alexandria via LeMat-Bulk, functional PBE.

Properties
Energy of formation, kJ/mol of formula units: 17
SG: P4/mmm, No. 123
Uncorrected energy, eV per atom: -4.458

Cell and atoms, written as POSCAR:
```
CaGe2PdPt
1.0
-1.650 4.246 -1.114
-2.594 0.216 4.667
3.753 1.982 1.995
Pd Ca Pt Ge
1 1 1 2
direct
0.000 0.000 0.000
0.000 0.500 0.000
0.500 0.500 0.500
0.500 0.000 0.000
0.000 0.000 0.500
```

***

5.
An optimized crystal structure of Cu2AgPb. Source: Alexandria via LeMat-Bulk, functional PBE.

Properties
Energy of formation, kJ/mol of formula units: 126
SG: R-3m, No. 166
Uncorrected energy, eV per atom: -3.362

Cell and atoms, written as POSCAR:
```
Cu2AgPb
1.0
8.712 0.057 0.034
8.114 3.174 0.034
8.114 1.558 2.765
Ag Cu Pb
1 2 1
direct
0.750 0.750 0.750
0.494 0.494 0.494
0.006 0.006 0.006
0.250 0.250 0.250
```

***

6.
An optimized crystal structure of MgNi2. Source: Alexandria via LeMat-Bulk, functional PBE.

Properties
Energy of formation, kJ/mol of formula units: -10
SG: Immm, No. 71
Uncorrected energy, eV per atom: -4.421

Cell and atoms, written as POSCAR:
```
MgNi2
1.0
-1.391 1.622 4.353
1.391 -1.622 4.353
1.391 1.622 -4.353
Mg Ni
1 2
direct
0.000 0.000 0.000
0.317 0.317 0.000
0.683 0.683 0.000
```

***

7.
An optimized crystal structure of Mg2TlIn. Source: Alexandria via LeMat-Bulk, functional PBE.

Properties
Energy of formation, kJ/mol of formula units: -28
SG: R-3m, No. 166
Uncorrected energy, eV per atom: -2.145

Cell and atoms, written as POSCAR:
```
Mg2TlIn
1.0
-7.143 -5.629 3.913
-4.419 -6.981 5.457
-5.905 -4.196 6.750
Tl Mg In
1 2 1
direct
0.250 0.250 0.250
0.500 0.500 0.500
0.000 0.000 0.000
0.750 0.750 0.750
```

***

8.
An optimized crystal structure of LuMgNb. Source: Alexandria via LeMat-Bulk, functional PBE.

Properties
Energy of formation, kJ/mol of formula units: 46
SG: I4mm, No. 107
Uncorrected energy, eV per atom: -5.235

Cell and atoms, written as POSCAR:
```
LuMgNb
1.0
3.038 0.000 0.000
0.000 3.038 0.000
-1.519 -1.519 7.320
Nb Mg Lu
1 1 1
direct
0.666 0.666 0.331
0.324 0.324 0.647
0.011 0.011 0.021
```

***

9.
An optimized crystal structure of SrTiPtO6. Source: Alexandria via LeMat-Bulk, functional PBE.

Properties
SG: P-31c, No. 163
Uncorrected energy, eV per atom: -6.847

Cell and atoms, written as POSCAR:
```
SrTiPtO6
1.0
-4.634 0.916 -2.286
3.147 -3.762 -1.864
-4.697 -7.214 6.630
Ti O Pt Sr
2 12 2 2
direct
0.333 0.667 0.750
0.667 0.333 0.250
0.370 0.000 0.651
0.371 0.370 0.349
0.629 0.630 0.651
0.371 0.000 0.151
0.630 0.629 0.151
0.000 0.630 0.849
0.000 0.370 0.151
0.000 0.371 0.651
0.630 0.000 0.349
0.370 0.371 0.849
0.000 0.629 0.349
0.629 0.000 0.849
0.333 0.667 0.250
0.667 0.333 0.750
0.000 0.000 0.000
0.000 0.000 0.500
```

***

10.
An optimized crystal structure of Pr2Dy15Tm2. Source: Alexandria via LeMat-Bulk, functional PBE.

Properties
Energy of formation, kJ/mol of formula units: 497
SG: R-3m, No. 166
Uncorrected energy, eV per atom: -4.336

Cell and atoms, written as POSCAR:
```
Pr2Dy15Tm2
1.0
-0.365 -8.519 1.798
6.399 -2.859 -5.179
6.459 -0.539 5.825
Dy Pr Tm
15 2 2
direct
0.000 0.296 0.704
0.634 0.148 0.634
0.366 0.366 0.852
0.148 0.634 0.634
0.000 0.500 0.000
0.000 0.704 0.296
0.500 0.000 0.000
0.366 0.852 0.366
0.634 0.634 0.148
0.296 0.704 0.000
0.852 0.366 0.366
0.704 0.296 0.000
0.000 0.000 0.500
0.704 0.000 0.296
0.296 0.000 0.704
0.328 0.328 0.328
0.672 0.672 0.672
0.097 0.097 0.097
0.903 0.903 0.903
```

***

11.
An optimized crystal structure of PuHg2Pb4. Source: Alexandria via LeMat-Bulk, functional PBE.

Properties
Energy of formation, kJ/mol of formula units: 3
SG: Cmmm, No. 65
Uncorrected energy, eV per atom: -4.248

Cell and atoms, written as POSCAR:
```
PuHg2Pb4
1.0
3.287 0.000 0.000
0.000 4.908 -1.262
0.000 0.606 12.528
Pb Pu Hg
4 1 2
direct
0.000 0.206 0.411
0.500 0.364 0.727
0.500 0.636 0.273
0.000 0.794 0.589
0.000 0.500 0.000
0.500 0.062 0.124
0.500 0.938 0.876
```

***

12.
An optimized crystal structure of ZrPCl4. Source: Alexandria via LeMat-Bulk, functional PBE.

Properties
SG: F-43m, No. 216
Uncorrected energy, eV per atom: -2.975

Cell and atoms, written as POSCAR:
```
ZrPCl4
1.0
-1.337 -1.546 5.168
-3.080 3.348 3.193
-5.245 -1.375 1.220
Cl Zr P
4 1 1
direct
0.374 0.374 0.877
0.374 0.877 0.374
0.374 0.374 0.374
0.877 0.374 0.374
0.000 0.000 0.000
0.750 0.750 0.750
```